Record 1
Material: Be2InCo
Method: DFT, PBE-GGA
State: optimized geometry

Computed properties:
E in eV/cell: -16.13
Symmetry: F-43m (216)

Lattice parameters (Å, degrees): 4.1034 4.1034 4.1034 60.00 60.00 60.00
With the nearest neighbours (Å) after each atom.
Sites, in units of the cell vectors:
In (0.5000, 0.5000, 0.5000)  4 Co 2.51, 4 Be 2.51
Co (0.2500, 0.2500, 0.2500)  4 In 2.51, 4 Be 2.51
Be (0.7500, 0.7500, 0.7500)  4 Be 2.51, 4 In 2.51
Be (0.0000, 0.0000, 0.0000)  4 Be 2.51, 4 Co 2.51


Record 2
Material: BeInCoIr
Method: DFT, PBE-GGA
State: optimized geometry

Computed properties:
E in eV/cell: -22.32
Symmetry: F-43m (216)
Energy above the most stable polymorph in this dataset in meV per atom: 0

Lattice parameters (Å, degrees): 4.2475 4.2475 4.2475 60.00 60.00 60.00
With the nearest neighbours (Å) after each atom.
Sites, in units of the cell vectors:
In (0.0000, 0.0000, 0.0000)  4 Ir 2.60, 4 Co 2.60
Ir (0.2500, 0.2500, 0.2500)  4 Be 2.60, 4 In 2.60
Co (0.7500, 0.7500, 0.7500)  4 Be 2.60, 4 In 2.60
Be (0.5000, 0.5000, 0.5000)  4 Ir 2.60, 4 Co 2.60


Record 3
Material: LuBeInCo
Method: DFT, PBE-GGA
State: optimized geometry

Computed properties:
E in eV/cell: -18.22
Symmetry: F-43m (216)
Energy above the most stable polymorph in this dataset in meV per atom: 0

Lattice parameters (Å, degrees): 4.5048 4.5048 4.5048 60.00 60.00 60.00
With the nearest neighbours (Å) after each atom.
Sites, in units of the cell vectors:
Lu (0.5000, 0.5000, 0.5000)  4 Be 2.76, 4 Co 2.76
In (0.0000, 0.0000, 0.0000)  4 Co 2.76, 4 Be 2.76
Be (0.2500, 0.2500, 0.2500)  4 Lu 2.76, 4 In 2.76
Co (0.7500, 0.7500, 0.7500)  4 In 2.76, 4 Lu 2.76


Record 4
Material: LuBeInCo
Method: DFT, PBE-GGA
State: optimized geometry

Computed properties:
E in eV/cell: -17.60
Symmetry: F-43m (216)
Energy above the most stable polymorph in this dataset in meV per atom: 155

Lattice parameters (Å, degrees): 4.5309 4.5309 4.5309 60.00 60.00 60.00
With the nearest neighbours (Å) after each atom.
Sites, in units of the cell vectors:
Be (0.5000, 0.5000, 0.5000)  4 Lu 2.77, 4 Co 2.77
Lu (0.2500, 0.2500, 0.2500)  4 Be 2.77, 4 In 2.77
Co (0.7500, 0.7500, 0.7500)  4 Be 2.77, 4 In 2.77
In (0.0000, 0.0000, 0.0000)  4 Lu 2.77, 4 Co 2.77